No. 1
DFT (PBE) results for BaAg2W after structural relaxation.

a b c (Å): 6.3333 6.3333 6.3333
angles (deg): 152.56 128.44 59.39
Fractional coordinates of all 4 atoms:
Ba1 0.0000 0.0000 0.0000
Ag1 0.4989 0.4989 0.0000
Ag2 0.7252 0.2252 0.5000
W1 0.2764 0.7764 0.5000

## Properties
Density of states at the Fermi level = 3.832 states/eV/cell
Energy of formation = 0.9535 eV/atom
Spin magnetization = 0.9 μB/f.u.

***

No. 2
DFT (PBE) results for Nd4HoMg5 after structural relaxation.

a b c (Å): 3.8584 3.8584 19.3903
angles (deg): 90.00 90.00 90.00
Fractional coordinates of all 10 atoms:
Nd1 0.0000 0.0000 0.1016
Nd2 0.0000 0.0000 0.3043
Nd3 0.0000 0.0000 0.6957
Nd4 0.0000 0.0000 0.8984
Ho1 0.0000 0.0000 0.5000
Mg1 0.5000 0.5000 0.0000
Mg2 0.5000 0.5000 0.2027
Mg3 0.5000 0.5000 0.4062
Mg4 0.5000 0.5000 0.5938
Mg5 0.5000 0.5000 0.7973

## Properties
Density of states at the Fermi level = 12.042 states/eV/cell
Energy of formation = -0.1016 eV/atom
Spin magnetization = 0.0 μB/f.u.

***

No. 3
DFT (PBE) results for Zn4InAg6 after structural relaxation.

a b c (Å): 6.7510 6.7510 6.7510
angles (deg): 119.55 119.55 90.79
Fractional coordinates of all 11 atoms:
Zn1 0.2662 0.2662 0.6561
Zn2 0.3899 0.7338 0.0000
Zn3 0.6101 0.6101 0.3439
Zn4 0.7338 0.3899 0.0000
In1 0.0000 0.0000 0.0000
Ag1 0.0000 0.5000 0.5000
Ag2 0.1150 0.4280 0.0000
Ag3 0.4280 0.1150 0.0000
Ag4 0.5000 0.0000 0.5000
Ag5 0.5720 0.5720 0.6870
Ag6 0.8850 0.8850 0.3130

## Properties
Density of states at the Fermi level = 4.155 states/eV/cell
Energy of formation = 0.1550 eV/atom
Spin magnetization = 0.0 μB/f.u.

***

No. 4
DFT (PBE) results for Si2PtPb after structural relaxation.

a b c (Å): 4.6783 4.6783 3.5530
angles (deg): 90.00 90.00 102.87
Fractional coordinates of all 4 atoms:
Si1 0.0000 0.5000 0.0000
Si2 0.5000 0.0000 0.0000
Pt1 0.0000 0.0000 0.5000
Pb1 0.5000 0.5000 0.5000

## Properties
Uncorrected formation energy = 433 meV/atom
Density of states at the Fermi level = 2.398 states/eV/cell
Spin magnetization = 0.0 μB/f.u.

***

No. 5
DFT (PBE) results for TaCdP2 after structural relaxation.

a b c (Å): 4.8464 4.8464 4.8464
angles (deg): 135.02 120.85 77.28
Fractional coordinates of all 4 atoms:
Ta1 0.0000 0.0000 0.0000
Cd1 0.5000 0.5000 0.0000
P1 0.2497 0.7497 0.5000
P2 0.7503 0.2503 0.5000

## Properties
Density of states at the Fermi level = 1.973 states/eV/cell
Energy of formation = 0.2378 eV/atom
Spin magnetization = 0.0 μB/f.u.

***

No. 6
DFT (PBE) results for SrCa2InCl after structural relaxation.

a b c (Å): 5.3897 5.3897 5.6180
angles (deg): 90.00 90.00 90.00
Fractional coordinates of all 5 atoms:
Sr1 0.0000 0.0000 0.0000
Ca1 0.0000 0.5000 0.5000
Ca2 0.5000 0.0000 0.5000
In1 0.5000 0.5000 0.0000
Cl1 0.0000 0.0000 0.5000

## Properties
Uncorrected formation energy = -701 meV/atom
Density of states at the Fermi level = 1.932 states/eV/cell
Spin magnetization = 0.0 μB/f.u.

***

No. 7
DFT (PBE) results for SbAs2S2 after structural relaxation.

a b c (Å): 8.6213 8.6213 3.3029
angles (deg): 90.00 90.00 90.00
Fractional coordinates of all 10 atoms:
Sb1 0.0000 0.0000 0.0000
Sb2 0.5000 0.5000 0.0000
As1 0.2381 0.2619 0.0000
As2 0.2619 0.7619 0.0000
As3 0.7381 0.2381 0.0000
As4 0.7619 0.7381 0.0000
S1 0.1321 0.6321 0.5000
S2 0.3679 0.1321 0.5000
S3 0.6321 0.8679 0.5000
S4 0.8679 0.3679 0.5000

## Properties
Uncorrected formation energy = 54 meV/atom
Density of states at the Fermi level = 2.974 states/eV/cell
Spin magnetization = 0.0 μB/f.u.

***

No. 8
DFT (PBE) results for Y2Al3ZnPt4 after structural relaxation.

a b c (Å): 4.1093 4.1093 10.9423
angles (deg): 90.00 90.00 90.00
Fractional coordinates of all 10 atoms:
Y1 0.0000 0.5000 0.2445
Y2 0.5000 0.0000 0.7555
Al1 0.0000 0.0000 0.0000
Al2 0.0000 0.5000 0.6319
Al3 0.5000 0.0000 0.3681
Zn1 0.5000 0.5000 0.0000
Pt1 0.0000 0.0000 0.5000
Pt2 0.0000 0.5000 0.8566
Pt3 0.5000 0.0000 0.1434
Pt4 0.5000 0.5000 0.5000

## Properties
Density of states at the Fermi level = 8.096 states/eV/cell
Energy of formation = -1.0447 eV/atom
Spin magnetization = 0.0 μB/f.u.

***

No. 9
DFT (PBE) results for Dy4TlSb after structural relaxation.

a b c (Å): 8.2820 8.2820 6.3837
angles (deg): 104.71 104.71 114.00
Fractional coordinates of all 12 atoms:
Dy1 0.0801 0.6983 0.9258
Dy2 0.2223 0.3842 0.6948
Dy3 0.3017 0.9199 0.5742
Dy4 0.3842 0.2223 0.1948
Dy5 0.6158 0.7777 0.8052
Dy6 0.6983 0.0801 0.4258
Dy7 0.7777 0.6158 0.3052
Dy8 0.9199 0.3017 0.0742
Tl1 0.0006 0.9994 0.2500
Tl2 0.9994 0.0006 0.7500
Sb1 0.3816 0.6184 0.2500
Sb2 0.6184 0.3816 0.7500

## Properties
Uncorrected formation energy = -415 meV/atom
Density of states at the Fermi level = 13.319 states/eV/cell
Spin magnetization = 0.0 μB/f.u.

***

No. 10
DFT (PBE) results for Ta4FeTc after structural relaxation.

a b c (Å): 5.3367 5.3367 5.3367
angles (deg): 60.00 60.00 60.00
Fractional coordinates of all 6 atoms:
Ta1 0.1244 0.1244 0.1244
Ta2 0.1244 0.1244 0.6268
Ta3 0.1244 0.6268 0.1244
Ta4 0.6268 0.1244 0.1244
Fe1 0.5000 0.5000 0.5000
Tc1 0.7500 0.7500 0.7500

## Properties
Density of states at the Fermi level = 4.210 states/eV/cell
Energy of formation = 0.5436 eV/atom
Spin magnetization = 3.3 μB/f.u.

***

No. 11
DFT (PBE) results for IrOsF after structural relaxation.

a b c (Å): 6.4295 6.4295 6.4295
angles (deg): 24.78 24.78 24.78
Fractional coordinates of all 3 atoms:
Ir1 0.0000 0.0000 0.0000
Os1 0.2241 0.2241 0.2241
F1 0.1146 0.1146 0.1146

## Properties
Uncorrected formation energy = -322 meV/atom
Density of states at the Fermi level = 3.325 states/eV/cell
Spin magnetization = 0.0 μB/f.u.

***

No. 12
DFT (PBE) results for Ba8NaPt4 after structural relaxation.

a b c (Å): 11.3820 11.3820 15.1675
angles (deg): 129.83 129.83 23.56
Fractional coordinates of all 13 atoms:
Ba1 0.0000 0.0000 0.0000
Ba2 0.0322 0.0322 0.7510
Ba3 0.0767 0.0767 0.4821
Ba4 0.3271 0.3271 0.6675
Ba5 0.4083 0.4083 0.1518
Ba6 0.6587 0.6587 0.3370
Ba7 0.7031 0.7031 0.0681
Ba8 0.7353 0.7353 0.8190
Na1 0.3684 0.3684 0.4102
Pt1 0.0315 0.0315 0.2364
Pt2 0.2204 0.2204 0.9448
Pt3 0.5149 0.5149 0.8743
Pt4 0.7039 0.7039 0.5826

## Properties
Density of states at the Fermi level = 7.928 states/eV/cell
Energy of formation = -0.5770 eV/atom
Spin magnetization = 0.0 μB/f.u.

***

No. 13
DFT (PBE) results for NaEuAlZn after structural relaxation.

a b c (Å): 5.0214 5.0214 5.0214
angles (deg): 60.00 60.00 60.00
Fractional coordinates of all 4 atoms:
Na1 0.0000 0.0000 0.0000
Eu1 0.7500 0.7500 0.7500
Al1 0.2500 0.2500 0.2500
Zn1 0.5000 0.5000 0.5000

## Properties
Density of states at the Fermi level = 9.818 states/eV/cell
Energy of formation = -0.0547 eV/atom
Spin magnetization = 7.0 μB/f.u.

***

No. 14
DFT (PBE) results for Gd2HoZr after structural relaxation.

a b c (Å): 3.4290 3.4290 9.9001
angles (deg): 90.00 90.00 90.00
Fractional coordinates of all 4 atoms:
Gd1 0.0000 0.0000 0.2332
Gd2 0.0000 0.0000 0.7668
Ho1 0.5000 0.5000 0.5000
Zr1 0.5000 0.5000 0.0000

## Properties
Density of states at the Fermi level = 5.870 states/eV/cell
Energy of formation = 0.0838 eV/atom
Spin magnetization = 14.3 μB/f.u.

***

No. 15
DFT (PBE) results for NdY2Bi after structural relaxation.

a b c (Å): 6.6489 6.6489 9.7792
angles (deg): 90.00 90.00 143.26
Fractional coordinates of all 8 atoms:
Nd1 0.0548 0.9452 0.7500
Nd2 0.9452 0.0548 0.2500
Y1 0.3648 0.6352 0.5412
Y2 0.3648 0.6352 0.9588
Y3 0.6352 0.3648 0.0412
Y4 0.6352 0.3648 0.4588
Bi1 0.2375 0.7625 0.2500
Bi2 0.7625 0.2375 0.7500

## Properties
Density of states at the Fermi level = 11.646 states/eV/cell
Energy of formation = -0.4361 eV/atom
Spin magnetization = 1.0 μB/f.u.

***

No. 16
DFT (PBE) results for RuS3Cl after structural relaxation.

a b c (Å): 4.6123 4.6123 4.6123
angles (deg): 90.00 90.00 90.00
Fractional coordinates of all 5 atoms:
Ru1 0.0000 0.0000 0.0000
S1 0.0000 0.0000 0.5000
S2 0.0000 0.5000 0.0000
S3 0.5000 0.0000 0.0000
Cl1 0.5000 0.5000 0.5000

## Properties
Uncorrected formation energy = 508 meV/atom
Density of states at the Fermi level = 5.535 states/eV/cell
Spin magnetization = 0.0 μB/f.u.

***

No. 17
DFT (PBE) results for BeAlO2F after structural relaxation.

a b c (Å): 3.5808 3.5808 3.1177
angles (deg): 90.00 90.00 90.00
Fractional coordinates of all 5 atoms:
Be1 0.0000 0.0000 0.0000
Al1 0.5000 0.5000 0.5000
O1 0.0000 0.5000 0.0000
O2 0.5000 0.0000 0.0000
F1 0.0000 0.0000 0.5000

## Properties
Uncorrected formation energy = -1813 meV/atom
Density of states at the Fermi level = 0.153 states/eV/cell
Spin magnetization = 0.0 μB/f.u.

***

No. 18
DFT (PBE) results for Ti2Ge2Os after structural relaxation.

a b c (Å): 7.4358 7.4358 5.2910
angles (deg): 90.00 90.00 147.05
Fractional coordinates of all 10 atoms:
Ti1 0.0022 0.9978 0.5000
Ti2 0.1975 0.8025 0.3107
Ti3 0.8025 0.1975 0.8107
Ti4 0.9978 0.0022 0.0000
Ge1 0.1861 0.8139 0.8094
Ge2 0.4243 0.5757 0.7383
Ge3 0.5757 0.4243 0.2383
Ge4 0.8139 0.1861 0.3094
Os1 0.3958 0.6042 0.2186
Os2 0.6042 0.3958 0.7186

## Properties
Density of states at the Fermi level = 6.017 states/eV/cell
Energy of formation = -0.4000 eV/atom
Spin magnetization = 0.0 μB/f.u.

***

No. 19
DFT (PBE) results for PmHo3 after structural relaxation.

a b c (Å): 3.6327 5.6560 6.2838
angles (deg): 90.00 90.00 90.00
Fractional coordinates of all 4 atoms:
Pm1 0.0000 0.0000 0.0000
Ho1 0.0000 0.5000 0.3358
Ho2 0.5000 0.0000 0.5021
Ho3 0.5000 0.5000 0.8341

## Properties
Density of states at the Fermi level = 6.835 states/eV/cell
Energy of formation = 0.0160 eV/atom
Spin magnetization = 0.0 μB/f.u.

***

No. 20
DFT (PBE) results for Ag3Br after structural relaxation.

a b c (Å): 5.6233 5.6233 5.6233
angles (deg): 116.59 116.59 116.59
Fractional coordinates of all 4 atoms:
Ag1 0.0000 0.5000 0.5000
Ag2 0.5000 0.0000 0.5000
Ag3 0.5000 0.5000 0.0000
Br1 0.0000 0.0000 0.0000

## Properties
Uncorrected formation energy = 245 meV/atom
Density of states at the Fermi level = 2.193 states/eV/cell
Spin magnetization = 0.0 μB/f.u.